# 1
A plane-wave DFT calculation with PBE-GGA was carried out for MgZn5Ni6 after structural relaxation.

The structure in CIF format:
```
data_MgZn5Ni6
_chemical_formula_sum 'Mg2 Zn10 Ni12'
_cell_length_a 3.908
_cell_length_b 6.526
_cell_length_c 11.642
_cell_angle_alpha 90.00
_cell_angle_beta 90.00
_cell_angle_gamma 90.00
_symmetry_space_group_name_H-M 'I m m m'
_symmetry_Int_Tables_number 71
_symmetry_space_group_name_Hall '-I 2 2'
loop_
_atom_site_label
_atom_site_fract_x
_atom_site_fract_y
_atom_site_fract_z
_atom_site_occupancy
Mg1 0.000 0.000 0.000 1
Zn1 0.000 0.000 0.331 1
Zn2 0.000 0.500 0.000 1
Zn3 0.000 0.500 0.336 1
Ni1 0.000 0.239 0.500 1
Ni2 0.000 0.256 0.169 1
```

Output
For the magnetic moment, the calculation gives 0.000 μB per cell. The value obtained for the calculated volume is 297 Å³/cell. Its total energy is -0.27829 Ry per atom.

***

# 2
A plane-wave DFT calculation with PBE-GGA was carried out for CuHgOs2 after structural relaxation.

The structure in CIF format:
```
data_CuHgOs2
_chemical_formula_sum 'Cu2 Hg2 Os4'
_cell_length_a 2.860
_cell_length_b 4.730
_cell_length_c 9.291
_cell_angle_alpha 90.00
_cell_angle_beta 90.00
_cell_angle_gamma 90.00
_symmetry_space_group_name_H-M 'I m m 2'
_symmetry_Int_Tables_number 44
_symmetry_space_group_name_Hall 'I 2 -2'
loop_
_atom_site_label
_atom_site_fract_x
_atom_site_fract_y
_atom_site_fract_z
_atom_site_occupancy
Cu1 0.000 0.000 0.000 1
Hg1 0.000 0.500 0.756 1
Os1 0.000 0.000 0.527 1
Os2 0.000 0.500 0.254 1
```

Output
For the magnetic moment, the calculation gives 0.000 μB per cell. The value obtained for the calculated volume is 126 Å³/cell. Its total energy is -0.43422 Ry per atom.